# 1
LiPm5Co2, relaxed, DFT PBE; V = 418.9 Å³ per cell; Fermi-level density of states = 8.46 states/eV/f.u.; M_tot = 0.00 μB per formula unit; ρ = 6.74 g cm⁻³; E_form = -0.19 eV/f.u.
1.0
-6.6614 -0.2044 4.0758
-3.3003 -4.3195 -5.6106
7.0899 -3.4543 3.9277
Li Pm Co
2 10 4
Direct
0.7500 0.7500 0.5000 Li
0.2500 0.2500 0.5000 Li
0.5283 0.7123 0.7406 Pm
0.7877 0.9717 0.2594 Pm
0.0000 0.0000 0.0000 Pm
0.5000 0.5000 0.0000 Pm
0.2123 0.0283 0.7406 Pm
0.7123 0.2123 0.7406 Pm
0.0283 0.5283 0.7406 Pm
0.2877 0.7877 0.2594 Pm
0.9717 0.4717 0.2594 Pm
0.4717 0.2877 0.2594 Pm
0.1376 0.3624 0.0000 Co
0.6376 0.1376 0.0000 Co
0.3624 0.8624 0.0000 Co
0.8624 0.6376 0.0000 Co

# 2
LiPm3Co, relaxed, DFT PBE; V = 154.7 Å³ per cell; Fermi-level density of states = 4.49 states/eV/f.u.; M_tot = 0.00 μB per formula unit; ρ = 5.38 g cm⁻³; E_form = 0.33 eV/f.u.
1.0
5.3686 0.0000 0.0000
0.0000 5.3686 0.0000
0.0000 0.0000 5.3686
Li Co Pm
1 1 3
Direct
0.5000 0.5000 0.5000 Li
0.0000 0.0000 0.0000 Co
0.0000 0.5000 0.0000 Pm
0.0000 0.0000 0.5000 Pm
0.5000 0.0000 0.0000 Pm